# 1
Material: RbPb3Au2
Method: DFT, PBE
State: optimized geometry

The structure in POSCAR format:
```
RbPb3Au2
1.0
7.071 -4.662 0.000
7.071 4.662 0.000
0.000 0.000 5.796
Rb Pb Au
2 6 4
Cartesian
7.071 3.178 4.347
7.071 -3.178 1.449
4.416 2.712 1.449
9.725 2.712 1.449
7.071 0.741 1.449
7.071 -0.741 4.347
4.416 -2.712 4.347
9.725 -2.712 4.347
4.343 0.000 0.000
4.343 0.000 2.898
9.798 0.000 0.000
9.798 0.000 2.898
```

Values from the calculation:
Calculated total energy = -3.220 eV/atom
ΔE to the lowest computed polymorph = 0.043 eV/atom
Formation enthalpy at 0 K = -0.112 eV per atom

---

# 2
Material: Rb11PbAu2
Method: DFT, PBE
State: optimized geometry

The structure in POSCAR format:
```
Rb11PbAu2
1.0
-6.785 8.475 8.939
6.785 -8.475 8.939
6.785 8.475 -8.939
Rb Pb Au
22 2 4
Cartesian
0.000 0.000 0.000
8.150 3.145 -2.654
9.807 -1.041 2.359
8.150 -3.145 6.285
3.762 1.041 2.359
4.991 -4.811 8.939
4.991 4.811 0.000
3.762 -1.041 6.581
8.150 3.145 2.654
3.022 9.516 -2.359
1.365 5.330 2.654
0.000 0.000 8.939
5.420 3.145 6.285
3.762 -1.041 11.298
-1.365 5.330 6.285
3.022 9.516 2.359
1.794 3.663 8.939
1.794 13.286 0.000
3.022 7.433 6.581
-1.365 11.619 2.654
-3.022 9.516 6.581
-1.365 5.330 11.593
6.785 0.000 4.470
0.000 8.475 4.470
1.909 3.025 0.000
8.694 5.450 0.000
-1.909 3.025 8.939
4.876 5.450 8.939
```

Values from the calculation:
Calculated total energy = -1.561 eV/atom
Formation enthalpy at 0 K = -0.067 eV per atom

---

# 3
Material: Rb3Pb2Au3
Method: DFT, PBE
State: optimized geometry

The structure in POSCAR format:
```
Rb3Pb2Au3
1.0
2.288 -6.539 0.000
2.288 6.539 0.000
0.000 0.000 19.332
Rb Pb Au
6 4 6
Cartesian
2.288 5.677 14.499
2.288 4.893 10.541
2.288 4.893 18.457
2.288 -4.893 0.875
2.288 -4.893 8.791
2.288 -5.677 4.833
2.288 4.008 2.990
2.288 4.008 6.676
2.288 -4.008 12.656
2.288 -4.008 16.342
2.288 2.127 14.499
2.288 0.999 11.732
2.288 0.999 17.266
2.288 -0.999 2.066
2.288 -0.999 7.600
2.288 -2.127 4.833
```

Values from the calculation:
Calculated total energy = -2.690 eV/atom
Formation enthalpy at 0 K = -0.171 eV per atom

---

# 4
Material: RbPb12Au7
Method: DFT, PBE
State: optimized geometry

The structure in POSCAR format:
```
RbPb12Au7
1.0
7.673 4.430 2.757
-7.673 4.430 2.757
0.000 -8.859 2.757
Rb Pb Au
1 12 7
Cartesian
0.000 0.000 0.000
-1.993 -5.407 2.757
-5.679 0.977 2.757
-2.420 -1.397 2.963
1.993 -5.407 2.757
-3.686 4.430 2.757
2.420 -1.397 2.963
0.000 2.795 2.963
0.000 -2.795 5.309
-2.420 1.397 5.309
5.679 0.977 2.757
3.686 4.430 2.757
2.420 1.397 5.309
0.000 -3.038 2.315
-2.631 1.519 2.315
-2.631 -1.519 5.957
0.000 0.000 4.136
2.631 1.519 2.315
2.631 -1.519 5.957
0.000 3.038 5.957
```

Values from the calculation:
Calculated total energy = -3.487 eV/atom
Formation enthalpy at 0 K = -0.067 eV per atom

---

# 5
Material: Rb3Pb4Au4
Method: DFT, PBE
State: optimized geometry

The structure in POSCAR format:
```
Rb3Pb4Au4
1.0
-4.584 4.584 4.584
4.584 -4.584 4.584
4.584 4.584 -4.584
Rb Pb Au
3 4 4
Cartesian
4.584 0.000 0.000
0.000 4.584 0.000
0.000 0.000 4.584
1.265 1.265 -1.265
1.265 -1.265 1.265
-1.265 1.265 1.265
3.319 3.319 3.319
2.925 2.925 -2.925
2.925 -2.925 2.925
1.659 1.659 1.659
-2.925 2.925 2.925
```

Values from the calculation:
Calculated total energy = -3.003 eV/atom
ΔE to the lowest computed polymorph = 0.000 eV/atom
Formation enthalpy at 0 K = -0.199 eV per atom

---

# 6
Material: RbPbAu3
Method: DFT, PBE
State: optimized geometry

The structure in POSCAR format:
```
RbPbAu3
1.0
5.771 0.000 0.000
0.000 5.771 0.000
0.000 0.000 5.771
Rb Pb Au
1 1 3
Cartesian
0.000 0.000 0.000
2.885 2.885 2.885
0.000 0.000 2.885
0.000 2.885 0.000
2.885 0.000 0.000
```

Values from the calculation:
Calculated total energy = -1.919 eV/atom
ΔE to the lowest computed polymorph = 0.981 eV/atom
Formation enthalpy at 0 K = 0.983 eV per atom

---

# 7
Material: RbPb4Au9
Method: DFT, PBE
State: optimized geometry

The structure in POSCAR format:
```
RbPb4Au9
1.0
-5.008 5.008 6.838
5.008 -5.008 6.838
5.008 5.008 -6.838
Rb Pb Au
2 8 18
Cartesian
0.000 0.000 3.419
0.000 0.000 10.257
6.976 1.968 -1.714
1.968 3.041 -1.714
6.976 1.968 1.714
1.968 3.041 1.714
3.041 1.968 5.124
-1.968 3.041 5.124
3.041 1.968 8.553
-1.968 3.041 8.553
5.008 0.000 0.000
1.995 0.266 0.000
6.080 -1.071 2.409
4.742 -3.013 6.838
3.937 -1.071 4.429
3.937 1.071 2.409
4.742 3.013 0.000
6.080 1.071 4.429
1.995 -0.266 6.838
0.000 5.008 0.000
3.013 5.274 0.000
-1.071 3.937 2.409
0.266 1.995 6.838
1.071 3.937 4.429
1.071 6.080 2.409
0.266 8.022 0.000
-1.071 6.080 4.429
3.013 4.742 6.838
```

Values from the calculation:
Calculated total energy = -3.308 eV/atom
Formation enthalpy at 0 K = -0.072 eV per atom

---

# 8
Material: RbPb3Au3
Method: DFT, PBE
State: optimized geometry

The structure in POSCAR format:
```
RbPb3Au3
1.0
7.987 0.000 0.000
0.000 7.987 0.000
0.000 0.000 7.987
Rb Pb Au
2 6 6
Cartesian
0.000 0.000 0.000
3.994 3.994 3.994
0.000 1.997 3.994
0.000 5.991 3.994
1.997 3.994 0.000
3.994 0.000 1.997
3.994 0.000 5.991
5.991 3.994 0.000
0.000 3.994 1.997
0.000 3.994 5.991
1.997 0.000 3.994
3.994 1.997 0.000
3.994 5.991 0.000
5.991 0.000 3.994
```

Values from the calculation:
Calculated total energy = -3.159 eV/atom
ΔE to the lowest computed polymorph = 0.040 eV/atom
Formation enthalpy at 0 K = -0.027 eV per atom

---

# 9
Material: Rb3Pb4Au4
Method: DFT, PBE
State: optimized geometry

The structure in POSCAR format:
```
Rb3Pb4Au4
1.0
-2.511 2.587 14.335
2.511 -2.587 14.335
2.511 2.587 -14.335
Rb Pb Au
3 4 4
Cartesian
0.000 0.000 0.000
2.511 0.000 4.102
0.000 2.587 10.232
0.000 0.000 7.143
2.511 0.000 11.519
0.000 2.587 2.816
0.000 0.000 21.526
2.511 0.000 8.712
0.000 0.000 12.910
0.000 0.000 15.759
0.000 2.587 5.623
```

Values from the calculation:
Calculated total energy = -2.971 eV/atom
ΔE to the lowest computed polymorph = 0.032 eV/atom
Formation enthalpy at 0 K = -0.167 eV per atom

---

# 10
Material: RbPb2Au
Method: DFT, PBE
State: optimized geometry

The structure in POSCAR format:
```
RbPb2Au
1.0
2.411 1.392 7.184
-2.411 1.392 7.184
0.000 -2.784 7.184
Rb Pb Au
1 2 1
Cartesian
0.000 0.000 0.000
0.000 0.000 4.594
0.000 0.000 16.958
0.000 0.000 10.776
```

Values from the calculation:
Calculated total energy = -3.115 eV/atom
Formation enthalpy at 0 K = -0.200 eV per atom

---

# 11
Material: Rb3PbAu4
Method: DFT, PBE
State: optimized geometry

The structure in POSCAR format:
```
Rb3PbAu4
1.0
-3.458 4.606 4.484
3.458 -4.606 4.484
3.458 4.606 -4.484
Rb Pb Au
3 1 4
Cartesian
0.000 0.000 0.000
3.458 2.161 -1.469
0.000 2.446 3.015
3.458 0.000 3.478
3.458 2.368 1.964
2.069 4.606 0.888
1.389 0.000 5.372
0.000 2.238 6.448
```

Values from the calculation:
Calculated total energy = -2.696 eV/atom
Formation enthalpy at 0 K = -0.231 eV per atom

---

# 12
Material: RbPbAu3
Method: DFT, PBE
State: optimized geometry

The structure in POSCAR format:
```
RbPbAu3
1.0
5.513 0.000 0.000
0.000 5.513 0.000
0.000 0.000 5.513
Rb Pb Au
1 1 3
Cartesian
0.000 0.000 0.000
2.757 2.757 2.757
0.000 2.757 2.757
2.757 0.000 2.757
2.757 2.757 0.000
```

Values from the calculation:
Calculated total energy = -2.900 eV/atom
ΔE to the lowest computed polymorph = 0.000 eV/atom
Formation enthalpy at 0 K = 0.001 eV per atom

---

# 13
Material: RbPb12Au5
Method: DFT, PBE
State: optimized geometry

The structure in POSCAR format:
```
RbPb12Au5
1.0
-4.783 4.804 5.710
4.783 -4.804 5.710
4.783 4.804 -5.710
Rb Pb Au
1 12 5
Cartesian
0.000 0.000 0.000
4.783 -1.865 3.586
3.092 2.224 0.000
6.475 2.224 0.000
2.851 4.804 -2.595
1.933 0.000 3.115
0.000 2.939 2.125
4.783 1.865 3.586
2.851 4.804 2.595
1.933 0.000 8.305
-1.691 2.580 5.710
1.691 2.580 5.710
0.000 6.669 2.125
4.783 0.000 1.402
1.426 4.804 0.000
0.000 0.000 5.710
3.357 0.000 5.710
0.000 4.804 4.309
```

Values from the calculation:
Calculated total energy = -3.480 eV/atom
Formation enthalpy at 0 K = -0.043 eV per atom

---

# 14
Material: RbPb2Au2
Method: DFT, PBE
State: optimized geometry

The structure in POSCAR format:
```
RbPb2Au2
1.0
-2.496 2.496 6.090
2.496 -2.496 6.090
2.496 2.496 -6.090
Rb Pb Au
1 2 2
Cartesian
0.000 0.000 0.000
2.496 0.000 3.045
0.000 2.496 3.045
0.000 0.000 4.684
0.000 0.000 7.495
```

Values from the calculation:
Calculated total energy = -3.149 eV/atom
ΔE to the lowest computed polymorph = 0.059 eV/atom
Formation enthalpy at 0 K = -0.162 eV per atom

---

# 15
Material: RbPb2Au
Method: DFT, PBE
State: optimized geometry

The structure in POSCAR format:
```
RbPb2Au
1.0
-2.687 2.687 10.598
2.687 -2.687 10.598
2.687 2.687 -10.598
Rb Pb Au
2 4 2
Cartesian
0.000 0.000 0.000
0.000 2.687 5.299
1.344 -0.709 7.948
1.979 1.344 2.649
1.344 3.396 -2.649
0.709 1.344 13.247
2.687 0.000 5.299
0.000 0.000 10.598
```

Values from the calculation:
Calculated total energy = -2.879 eV/atom
Formation enthalpy at 0 K = 0.037 eV per atom

---

# 16
Material: RbPb2Au
Method: DFT, PBE
State: optimized geometry

The structure in POSCAR format:
```
RbPb2Au
1.0
0.000 3.886 3.886
3.886 0.000 3.886
3.886 3.886 0.000
Rb Pb Au
1 2 1
Cartesian
0.000 0.000 0.000
1.943 1.943 1.943
5.829 5.829 5.829
3.886 3.886 3.886
```

Values from the calculation:
Calculated total energy = -2.802 eV/atom
Formation enthalpy at 0 K = 0.113 eV per atom

---

# 17
Material: Rb2Pb5Au3
Method: DFT, PBE
State: optimized geometry

The structure in POSCAR format:
```
Rb2Pb5Au3
1.0
-6.051 7.244 3.641
6.051 -7.244 3.641
6.051 7.244 -3.641
Rb Pb Au
4 10 6
Cartesian
3.020 1.915 0.000
3.020 -1.915 3.641
3.031 9.159 0.000
3.031 5.329 3.641
6.051 3.623 -1.821
0.000 3.621 5.462
7.731 1.533 0.000
0.000 0.000 1.821
1.681 5.711 0.000
0.000 3.621 1.821
6.051 3.623 1.821
4.370 1.533 3.641
0.000 0.000 5.462
-1.681 5.711 3.641
4.549 -5.427 3.641
6.051 0.000 1.821
4.549 5.427 0.000
1.501 1.817 3.641
0.000 7.244 1.821
1.501 12.671 0.000
```

Values from the calculation:
Calculated total energy = -3.206 eV/atom
ΔE to the lowest computed polymorph = 0.000 eV/atom
Formation enthalpy at 0 K = -0.175 eV per atom

---

# 18
Material: RbPb12Au6
Method: DFT, PBE
State: optimized geometry

The structure in POSCAR format:
```
RbPb12Au6
1.0
6.925 3.998 3.477
-6.925 3.998 3.477
0.000 -7.996 3.477
Rb Pb Au
1 12 6
Cartesian
0.000 0.000 0.000
-2.588 -4.483 5.216
-5.177 0.000 5.216
-1.803 -1.041 3.706
1.803 -1.041 3.706
0.000 2.082 3.706
2.588 -4.483 5.216
-2.588 4.483 5.216
0.000 -2.082 6.726
-1.803 1.041 6.726
1.803 1.041 6.726
5.177 0.000 5.216
2.588 4.483 5.216
0.000 -3.612 4.149
-3.128 1.806 4.149
-3.128 -1.806 6.283
3.128 1.806 4.149
3.128 -1.806 6.283
0.000 3.612 6.283
```

Values from the calculation:
Calculated total energy = -3.508 eV/atom
Formation enthalpy at 0 K = -0.080 eV per atom

---

# 19
Material: Rb2PbAu
Method: DFT, PBE
State: optimized geometry

The structure in POSCAR format:
```
Rb2PbAu
1.0
-6.389 6.389 2.726
6.389 -6.389 2.726
6.389 6.389 -2.726
Rb Pb Au
4 2 2
Cartesian
-1.127 3.195 0.682
3.195 5.262 2.045
1.127 9.584 0.682
-3.195 7.517 2.045
6.389 0.000 1.363
0.000 0.000 2.726
0.000 0.000 0.000
0.000 6.389 1.363
```

Values from the calculation:
Calculated total energy = -2.302 eV/atom
Formation enthalpy at 0 K = -0.071 eV per atom